Here is an optimized crystal structure of AcH2Cl6 from Alexandria. Energies are from GGA-PBE.

abc: 6.0827 6.0827 22.3263
angles: 90.00 90.00 120.00
Closest atoms and distances in Å follow each position.
Space group R3 (No. 146, hexagonal axes)
Asymmetric unit:
Ac (0.0000, 0.0000, 0.0000) [3 per cell]  6 Cl 2.93
H (0.0000, 0.0000, 0.2545) [3 per cell]  3 Cl 1.79
H (0.0000, 0.0000, 0.4126) [3 per cell]  3 Cl 1.79
Cl (0.0220, 0.3917, 0.0800) [9 per cell]  1 H 1.79
Cl (0.0218, 0.6297, 0.9202) [9 per cell]  1 H 1.79

Output
The calculated density comes out at 3.08 g/cm3. The value obtained for the total energy is -3.37 eV per atom. Its density of states at the Fermi level is 1.22 states/eV/atom.

Here is an optimized crystal structure of AcHCl from Alexandria. Energies are from GGA-PBE.

abc: 6.9569 4.3802 10.2467
angles: 90.00 95.98 90.00
Closest atoms and distances in Å follow each position.
Space group Cm (No. 8)
Asymmetric unit:
Ac (0.0000, 0.0000, 0.0000) [2 per cell]  4 H 2.50-2.72
Ac (0.0501, 0.5000, 0.3220) [2 per cell]  4 H 2.50-2.72
H (0.1403, 0.5000, 0.0809) [2 per cell]  4 Ac 2.50-2.72, 2 H 2.73
H (0.1656, 0.0000, 0.2407) [2 per cell]  4 Ac 2.50-2.72, 2 H 2.73
Cl (0.3172, 0.0000, 0.8237) [2 per cell]  3 Ac 2.99-3.03, 1 H 3.28
Cl (0.4214, 0.5000, 0.4985) [2 per cell]  3 Ac 3.00-3.03, 1 H 3.29

Output
The calculated density comes out at 5.64 g/cm3. The value obtained for the total energy is -4.37 eV per atom. Its density of states at the Fermi level is 0.56 states/eV/atom.

Here is an optimized crystal structure of AcH2Cl from Alexandria. Energies are from GGA-PBE.

abc: 4.1782 4.1782 3.8578
angles: 90.00 90.00 90.00
Closest atoms and distances in Å follow each position.
Space group P4/mmm (No. 123)
Asymmetric unit:
Ac (0.0000, 0.0000, 0.0000) [1 per cell]  8 H 2.84, 4 Cl 2.95
H (0.0000, 0.5000, 0.5000) [2 per cell]  4 Ac 2.84, 4 Cl 2.84, 4 H 2.95
Cl (0.5000, 0.5000, 0.0000) [1 per cell]  8 H 2.84, 4 Ac 2.95

Output
The calculated density comes out at 6.52 g/cm3. The value obtained for the total energy is -4.01 eV per atom.

Here is an optimized crystal structure of AcHCl from Alexandria. Energies are from GGA-PBE.

abc: 6.0781 14.5980 6.3807
angles: 90.00 90.00 90.00
Closest atoms and distances in Å follow each position.
Space group Pna2_1 (No. 33)
Asymmetric unit:
Ac (0.0140, 0.1126, 0.0000) [4 per cell]  3 H 2.48-2.72
Ac (0.0681, 0.3420, 0.4651) [4 per cell]  3 H 2.37-2.63
H (0.1269, 0.7837, 0.7776) [4 per cell]  3 Ac 2.37-2.49
H (0.1853, 0.9682, 0.7866) [4 per cell]  3 Ac 2.49-2.72, 1 H 2.72
Cl (0.0193, 0.3203, 0.9483) [4 per cell]  2 H 2.74-3.05, 1 Ac 3.05
Cl (0.1856, 0.5035, 0.7535) [4 per cell]  4 Ac 2.91-3.07, 3 H 3.07-3.12, 1 Cl 3.12

Output
The calculated density comes out at 6.18 g/cm3. The value obtained for the total energy is -4.28 eV per atom. Its density of states at the Fermi level is 0.20 states/eV/atom.

Here is an optimized crystal structure of AcHCl from Alexandria. Energies are from GGA-PBE.

abc: 6.6912 6.6912 6.6912
angles: 90.00 90.00 90.00
Closest atoms and distances in Å follow each position.
Space group F-43m (No. 216)
Asymmetric unit:
Ac (0.0000, 0.0000, 0.0000) [4 per cell]  4 Cl 2.90, 4 H 2.90
H (0.2500, 0.2500, 0.2500) [4 per cell]  4 Ac 2.90
Cl (0.2500, 0.2500, 0.7500) [4 per cell]  4 Ac 2.90

Output
The calculated density comes out at 5.84 g/cm3. The value obtained for the total energy is -4.13 eV per atom. Its density of states at the Fermi level is 0.80 states/eV/atom.

Here is an optimized crystal structure of AcH2Cl from Alexandria. Energies are from GGA-PBE.

abc: 4.1284 4.1284 14.1176
angles: 90.00 90.00 120.00
Closest atoms and distances in Å follow each position.
Space group R-3m (No. 166, hexagonal axes)
Asymmetric unit:
Ac (0.0000, 0.0000, 0.0000) [3 per cell]  6 H 2.44
H (0.0000, 0.0000, 0.2978) [6 per cell]  3 Ac 2.44, 3 H 2.59
Cl (0.0000, 0.0000, 0.5000) [3 per cell]  8 H 2.85-3.02

Output
The calculated density comes out at 6.32 g/cm3. The value obtained for the total energy is -4.30 eV per atom. Its density of states at the Fermi level is 0.00 states/eV/atom.

Here is an optimized crystal structure of AcH2Cl4 from Alexandria. Energies are from GGA-PBE.

abc: 4.5735 14.9281 5.5536
angles: 90.00 90.00 90.00
Closest atoms and distances in Å follow each position.
Space group Cmmm (No. 65)
Asymmetric unit:
Ac (0.0000, 0.0000, 0.0000) [2 per cell]  8 Cl 2.91-3.20
H (0.0000, 0.2027, 0.5000) [4 per cell]  1 Cl 1.44
Cl (0.0000, 0.1060, 0.5000) [4 per cell]  1 H 1.44
Cl (0.0000, 0.3797, 0.0000) [4 per cell]  2 Ac 2.91

Output
The calculated density comes out at 3.25 g/cm3. The value obtained for the total energy is -3.66 eV per atom. Its density of states at the Fermi level is 0.26 states/eV/atom.

Here is an optimized crystal structure of AcHICl from Alexandria. Energies are from GGA-PBE.

abc: 7.4965 4.3284 8.0950
angles: 90.00 108.06 90.00
Closest atoms and distances in Å follow each position.
Space group Cm (No. 8)
Asymmetric unit:
Ac (0.0000, 0.0000, 0.0000) [2 per cell]  3 H 2.50
H (0.1647, 0.5000, 0.9941) [2 per cell]  3 Ac 2.50
I (0.2341, 0.0000, 0.7037) [2 per cell]  3 H 3.35, 3 Ac 3.38
Cl (0.4086, 0.0000, 0.2247) [2 per cell]  3 Ac 3.04, 3 H 3.07

Output
The calculated density comes out at 5.19 g/cm3. The value obtained for the total energy is -4.30 eV per atom. Its density of states at the Fermi level is 0.00 states/eV/atom.

Repeat the sixth record exactly.
Here is an optimized crystal structure of AcH2Cl from Alexandria. Energies are from GGA-PBE.

abc: 4.1284 4.1284 14.1176
angles: 90.00 90.00 120.00
Closest atoms and distances in Å follow each position.
Space group R-3m (No. 166, hexagonal axes)
Asymmetric unit:
Ac (0.0000, 0.0000, 0.0000) [3 per cell]  6 H 2.44
H (0.0000, 0.0000, 0.2978) [6 per cell]  3 Ac 2.44, 3 H 2.59
Cl (0.0000, 0.0000, 0.5000) [3 per cell]  8 H 2.85-3.02

Output
The calculated density comes out at 6.32 g/cm3. The value obtained for the total energy is -4.30 eV per atom. Its density of states at the Fermi level is 0.00 states/eV/atom.

- Which formula does entry 5 have?
  AcHCl

- What is the calculated density in the fourth record?
  6.18 g/cm3